Rb2TmInBr6: relaxed, PBE.

Computed properties:
Theoretical density   3958 kg/m³
Formation energy (no corrections)   -1613 meV/atom

abc: 7.998 8.495 13.989
angles: 90.00 124.44 90.00
Space group P2_1/c (No. 14)
Asymmetric unit:
Rb 0.222 0.076 0.249 (multiplicity 4)
Tm 0.500 0.000 0.000 (multiplicity 2)
In 0.000 0.000 0.500 (multiplicity 2)
Br 0.167 0.177 0.950 (multiplicity 4)
Br 0.272 0.724 0.942 (multiplicity 4)
Br 0.379 0.033 0.772 (multiplicity 4)

---

Rb2TmIn2Br6: relaxed, PBE.

Computed properties:
Theoretical density   3480 kg/m³
Formation energy (no corrections)   -1321 meV/atom

abc: 7.879 14.680 8.915
angles: 90.00 103.92 90.00
Space group C2/m (No. 12)
Asymmetric unit:
Rb 0.000 0.168 0.000 (multiplicity 4)
Tm 0.000 0.500 0.000 (multiplicity 2)
In 0.000 0.247 0.500 (multiplicity 4)
Br 0.082 0.365 0.807 (multiplicity 8)
Br 0.165 0.000 0.816 (multiplicity 4)

---

Rb2UInBr6: relaxed, PBE.

Computed properties:
Theoretical density   3677 kg/m³
Formation energy (no corrections)   -1332 meV/atom

abc: 8.220 12.052 9.145
angles: 90.00 90.00 90.00
Space group Pmmn (No. 59, origin choice 2)
Asymmetric unit:
Rb 0.250 0.052 0.177 (multiplicity 4)
U 0.250 0.750 0.796 (multiplicity 2)
In 0.250 0.250 0.700 (multiplicity 2)
Br 0.006 0.750 0.029 (multiplicity 4)
Br 0.018 0.250 0.408 (multiplicity 4)
Br 0.250 0.509 0.802 (multiplicity 4)

---

RbUIn2Br8: relaxed, PBE.

Computed properties:
Theoretical density   3689 kg/m³
Formation energy (no corrections)   -1133 meV/atom

abc: 7.289 7.559 9.740
angles: 90.06 90.11 90.21
Space group P-1 (No. 2)
Asymmetric unit:
Rb 0.000 0.000 0.000 (multiplicity 1)
U 0.000 0.000 0.500 (multiplicity 1)
In 0.499 0.500 0.771 (multiplicity 2)
Br 0.196 0.700 0.499 (multiplicity 2)
Br 0.226 0.136 0.303 (multiplicity 2)
Br 0.227 0.134 0.698 (multiplicity 2)
Br 0.277 0.639 0.000 (multiplicity 2)

---

RbUInBr6: relaxed, PBE.

Computed properties:
Theoretical density   3842 kg/m³
Formation energy (no corrections)   -1301 meV/atom

abc: 8.1101 8.1101 13.9274
angles: 90.00 90.00 120.00
Space group P-31c (No. 163)
Asymmetric unit:
Rb 0.0000 0.0000 0.0000 (multiplicity 2)
U 0.3333 0.6667 0.2500 (multiplicity 2)
In 0.3333 0.6667 0.7500 (multiplicity 2)
Br 0.0458 0.3900 0.1348 (multiplicity 12)

---

RbUIn2Br6: relaxed, PBE.

Computed properties:
Theoretical density   4049 kg/m³
Formation energy (no corrections)   -1134 meV/atom

abc: 8.2783 8.2783 21.4098
angles: 90.00 90.00 120.00
Space group R3 (No. 146, hexagonal axes)
Asymmetric unit:
Rb 0.0000 0.0000 0.0000 (multiplicity 3)
U 0.0000 0.0000 0.5117 (multiplicity 3)
In 0.0000 0.0000 0.2031 (multiplicity 3)
In 0.0000 0.0000 0.7126 (multiplicity 3)
Br 0.0539 0.7049 0.1079 (multiplicity 9)
Br 0.0658 0.3903 0.2664 (multiplicity 9)

---

Rb2VInBr: relaxed, PBE.

Computed properties:
Theoretical density   2303 kg/m³
Formation energy (no corrections)   658 meV/atom

abc: 7.164 7.164 5.853
angles: 90.00 90.00 90.00
Space group P4/mmm (No. 123)
Asymmetric unit:
Rb 0.000 0.500 0.000 (multiplicity 2)
V 0.000 0.000 0.500 (multiplicity 1)
In 0.500 0.500 0.000 (multiplicity 1)
Br 0.500 0.500 0.500 (multiplicity 1)

---

Rb3V2InBr9: relaxed, PBE.

Computed properties:
Theoretical density   3828 kg/m³
Formation energy (no corrections)   -1152 meV/atom

abc: 7.6470 7.6470 10.2120
angles: 90.00 90.00 120.00
Space group P-3m1 (No. 164)
Asymmetric unit:
Rb 0.0000 0.0000 0.0000 (multiplicity 1)
Rb 0.3333 0.6667 0.7093 (multiplicity 2)
V 0.3333 0.6667 0.1531 (multiplicity 2)
In 0.0000 0.0000 0.5000 (multiplicity 1)
Br 0.0000 0.5000 0.0000 (multiplicity 3)
Br 0.1749 0.3497 0.2929 (multiplicity 6)

---

Rb2InWBr6: relaxed, PBE.

Computed properties:
Theoretical density   4212 kg/m³
Formation energy (no corrections)   -918 meV/atom

abc: 11.439 11.439 11.439
angles: 90.00 90.00 90.00
Space group Fm-3m (No. 225)
Asymmetric unit:
Rb 0.250 0.250 0.250 (multiplicity 8)
In 0.000 0.000 0.000 (multiplicity 4)
W 0.000 0.000 0.500 (multiplicity 4)
Br 0.000 0.000 0.272 (multiplicity 24)

---

RbYIn2Br6: relaxed, PBE.

Computed properties:
Theoretical density   3563 kg/m³
Formation energy (no corrections)   -1378 meV/atom

abc: 8.195 8.205 8.505
angles: 90.03 118.80 119.95
Space group P1 (No. 1)
Asymmetric unit:
Rb 0.000 0.000 0.000 (multiplicity 1)
Y 0.979 0.489 0.468 (multiplicity 1)
In 0.581 0.290 0.871 (multiplicity 1)
In 0.598 0.800 0.397 (multiplicity 1)
Br 0.081 0.408 0.213 (multiplicity 1)
Br 0.086 0.255 0.679 (multiplicity 1)
Br 0.424 0.831 0.679 (multiplicity 1)
Br 0.541 0.133 0.213 (multiplicity 1)
Br 0.805 0.672 0.212 (multiplicity 1)
Br 0.848 0.594 0.679 (multiplicity 1)

---

RbZn2InBr6: relaxed, PBE.

Computed properties:
Theoretical density   3278 kg/m³
Formation energy (no corrections)   -998 meV/atom

abc: 10.502 15.350 10.452
angles: 90.00 102.93 90.00
Space group C2/c (No. 15)
Asymmetric unit:
Rb 0.000 0.081 0.250 (multiplicity 4)
Zn 0.166 0.357 0.327 (multiplicity 8)
In 0.000 0.408 0.750 (multiplicity 4)
Br 0.040 0.375 0.090 (multiplicity 8)
Br 0.207 0.018 0.588 (multiplicity 8)
Br 0.233 0.282 0.681 (multiplicity 8)

---

RbZnInBr4: relaxed, PBE.

Computed properties:
Theoretical density   3752 kg/m³
Formation energy (no corrections)   -1089 meV/atom

abc: 7.482 7.550 9.607
angles: 90.00 107.32 90.00
Space group P2_1/m (No. 11)
Asymmetric unit:
Rb 0.215 0.250 0.041 (multiplicity 2)
Zn 0.214 0.750 0.781 (multiplicity 2)
In 0.256 0.250 0.553 (multiplicity 2)
Br 0.005 0.501 0.285 (multiplicity 4)
Br 0.355 0.750 0.043 (multiplicity 2)
Br 0.427 0.750 0.635 (multiplicity 2)